Compound: In2GaI
Source: Alexandria
Functional: PBE-GGA
Structure: relaxed

Results
Electronic total energy: -9.50 eV/f.u.
Uncorrected formation energy: 0.138 eV/atom
Energy above the lowest structure with this stoichiometry: 0.181 eV per atom
D(E_F): 0.682 states/eV/atom

Cell: 5.535 5.535 5.535 Å, 60.00 60.00 60.00°
Positions (direct):
I 0.500 0.500 0.500
Ga 0.000 0.000 0.000
In 0.250 0.250 0.250
In 0.750 0.750 0.750